{
  "formula": "Mg2Hg2Rh",
  "functional": "GGA-PBE",
  "state": "optimized geometry",
  "total_energy_ry_per_atom": -0.1865,
  "e_above_lowest_polymorph_mev_per_atom": 0,
  "ef_mev_per_atom": -308,
  "dos_at_fermi_per_ev_atom": 0.311,
  "density_g_cm3": 9.521,
  "vol_a3_per_atom": 19.279,
  "lattice_angstrom": [[3.244, 0.000, 0.000], [0.000, 3.244, 0.000], [0.000, 0.000, 18.320]],
  "species": ["Mg", "Mg", "Mg", "Mg", "Hg", "Hg", "Hg", "Hg", "Rh", "Rh"],
  "fractional_positions": [[0.000, 0.000, 0.079], [0.000, 0.000, 0.921], [0.500, 0.500, 0.421], [0.500, 0.500, 0.579], [0.000, 0.000, 0.313], [0.000, 0.000, 0.687], [0.500, 0.500, 0.187], [0.500, 0.500, 0.813], [0.000, 0.000, 0.500], [0.500, 0.500, 0.000]]
}